1.
VASP calculation (PBE) on a relaxed ScPaTiMo crystal.

Space-group type: F-43m (216)
ΔE_f, eV/atom: 0.043

abc: 4.798 4.798 4.798
angles: 60.00 60.00 60.00
Fractional coordinates of all 4 atoms:
Sc (0.750, 0.750, 0.750)
Mo (0.500, 0.500, 0.500)
Pa (0.250, 0.250, 0.250)
Ti (0.000, 0.000, 0.000)

=====

2.
VASP calculation (PBE) on a relaxed NaZrNb2O8 crystal.

Space-group type: I-4m2 (119)
Energy relative to the elements, uncorrected, eV/atom: -2.350

abc: 6.089 6.089 6.089
angles: 106.63 106.63 115.32
Last column: magnetic moment on the atom in μB.
Fractional coordinates of all 12 atoms:
Nb (0.750, 0.250, 0.500)  -0.06
Nb (0.500, 0.500, 0.000)  -0.03
O (0.874, 0.660, 0.214)  0.08
O (0.950, 0.265, 0.315)  0.16
O (0.446, 0.660, 0.786)  0.08
O (0.340, 0.554, 0.214)  0.08
O (0.735, 0.050, 0.685)  0.16
O (0.950, 0.635, 0.685)  0.16
O (0.365, 0.050, 0.315)  0.16
O (0.340, 0.126, 0.786)  0.08
Zr (0.250, 0.750, 0.500)  -0.02
Na (0.000, 0.000, 0.000)  0.00

=====

3.
VASP calculation (PBE) on a relaxed Al2V8C crystal.

Space-group type: C2/m (12)
ΔE_f, eV/atom: 0.172

abc: 4.261 7.266 7.266
angles: 45.87 82.21 82.21
Fractional coordinates of all 11 atoms:
Al (0.303, 0.734, 0.734)
Al (0.697, 0.266, 0.266)
V (0.806, 0.844, 0.352)
V (0.724, 0.449, 0.449)
V (0.194, 0.648, 0.156)
V (0.704, 0.892, 0.892)
V (0.296, 0.108, 0.108)
V (0.194, 0.156, 0.648)
V (0.276, 0.551, 0.551)
V (0.806, 0.352, 0.844)
C (0.000, 0.000, 0.000)

=====

4.
VASP calculation (PBE) on a relaxed NdY2Mn crystal.

Space-group type: P4/mmm (123)
ΔE_f, eV/atom: 0.128

abc: 3.514 3.514 9.119
angles: 90.00 90.00 90.00
Last column: magnetic moment on the atom in μB.
Fractional coordinates of all 4 atoms:
Y (0.000, 0.000, 0.807)  -0.18
Y (0.000, 0.000, 0.193)  -0.18
Nd (0.500, 0.500, 0.500)  0.07
Mn (0.500, 0.500, 0.000)  3.30

=====

5.
VASP calculation (PBE) on a relaxed Mg6InHg12 crystal.

Space-group type: R-3 (148)
ΔE_f, eV/atom: -0.085
Energy relative to the lowest polymorph listed for this composition, meV per atom: 0.0

abc: 8.280 8.326 8.326
angles: 70.42 70.64 109.36
Fractional coordinates of all 19 atoms:
Hg (0.795, 0.279, 0.861)
Hg (0.879, 0.627, 0.933)
Hg (0.344, 0.139, 0.140)
Hg (0.252, 0.440, 0.627)
Hg (0.656, 0.861, 0.860)
Hg (0.812, 0.933, 0.440)
Hg (0.516, 0.860, 0.279)
Hg (0.121, 0.373, 0.067)
Hg (0.188, 0.067, 0.560)
Hg (0.484, 0.140, 0.721)
Hg (0.205, 0.721, 0.139)
Hg (0.748, 0.560, 0.373)
Mg (0.044, 0.712, 0.512)
Mg (0.956, 0.288, 0.488)
Mg (0.668, 0.224, 0.288)
Mg (0.332, 0.776, 0.712)
Mg (0.444, 0.488, 0.224)
Mg (0.556, 0.512, 0.776)
In (0.000, 0.000, 0.000)

=====

6.
VASP calculation (PBE) on a relaxed TaIn2Sb crystal.

Space-group type: Pmmm (47)
Energy relative to the elements, uncorrected, eV/atom: 0.380

abc: 3.131 4.945 5.825
angles: 90.00 90.00 90.00
Fractional coordinates of all 4 atoms:
Ta (0.500, 0.500, 0.750)
Sb (0.500, 0.500, 0.250)
In (0.000, 0.000, 0.508)
In (0.000, 0.000, 0.992)

=====

| no. | ρ (g/cm³) | volume (Å³/cell) |
| --- | --- | --- |
| 1 | 8.92 | 78 |
| 2 | 4.12 | 172 |
| 3 | 4.92 | 160 |
| 4 | 5.56 | 113 |
| 5 | 10.01 | 442 |
| 6 | 9.80 | 90 |